# 1
Entry from Alexandria via LeMat-Bulk: a relaxed La6Pd2I3N crystal (PBE).

Properties
Total magnetization, μB per atom: 0.00
Formation energy from raw total energies, eV/atom: -1.018
Theoretical density, g/cm3: 6.6

a b c (Å): 7.1772 12.4137 8.4824
angles (deg): 90.00 106.03 90.00
Closest atoms and distances in Å follow each position.
Space group C2/m (No. 12)
Symmetry-distinct sites (fractional):
La1 0.2093 0.1468 0.1870 x8  1 N 2.60
La2 0.2293 0.0000 0.8085 x4  1 N 2.61
Pd1 0.0000 0.3347 0.0000 x4  6 La 2.96-2.98
I1 0.0000 0.1736 0.5000 x4  6 La 3.41-3.65
I2 0.0000 0.5000 0.5000 x2  6 La 3.41-3.66
N1 0.0000 0.0000 0.0000 x2  6 La 2.60-2.61

---

# 2
Entry from Alexandria via LeMat-Bulk: a relaxed La2PmI2N2 crystal (PBE).

Properties
Total magnetization, μB per atom: 0.14
Formation energy from raw total energies, eV/atom: -1.205
Theoretical density, g/cm3: 5.7

a b c (Å): 4.6486 4.6486 19.1293
angles (deg): 90.00 90.00 90.00
Closest atoms and distances in Å follow each position.
Space group I4/mmm (No. 139)
Symmetry-distinct sites (fractional):
La1 0.0000 0.0000 0.0793 x4  4 N 2.78, 1 La 3.04
Pm1 0.0000 0.0000 0.5000 x2  4 N 2.32
I1 0.0000 0.0000 0.3310 x4  1 Pm 3.23
N1 0.0000 0.5000 0.0000 x4  2 Pm 2.32

---

# 3
Entry from Alexandria via LeMat-Bulk: a relaxed LaPmIN crystal (PBE).

Properties
Total magnetization, μB per atom: 0.00
Formation energy from raw total energies, eV/atom: -1.230
Theoretical density, g/cm3: 7.2

a b c (Å): 6.6057 3.8229 8.0903
angles (deg): 90.00 105.81 90.00
Closest atoms and distances in Å follow each position.
Space group Cm (No. 8)
Symmetry-distinct sites (fractional):
La1 0.0000 0.0000 0.0000 x2  3 N 2.63
Pm1 0.2196 0.0000 0.6588 x2  3 N 2.52
I1 0.2803 0.5000 0.3413 x2  3 Pm 3.31, 3 La 3.45
N1 0.1054 0.5000 0.8161 x2  3 Pm 2.52, 3 La 2.63

---

- The lowest theoretical density belongs to which entry?
  La2PmI2N2

---

- Among the records above, which one has the highest formation energy from raw total energies?
  La6Pd2I3N

---

- Which of these has the lowest theoretical density?
  La2PmI2N2

---

- Number 3 is which compound?
  LaPmIN